This record from the Alexandria database describes crystalline NiSbTe2Au at its relaxed geometry. The functional is GGA-PBE.

Properties
V = 139.55 Å³/cell
Total DFT energy (no corrections) = -3.212 eV per atom
Fermi-level density of states = 1.658 states/eV/atom
Formation energy from raw total energies = 681 meV per atom

Cell: 5.427 5.427 4.739 Å, 90.00 90.00 90.00°
Space group P4/mmm (No. 123)
Symmetry-distinct sites (fractional):
Ni 0.000 0.000 0.000 (multiplicity 1)
Sb 0.500 0.500 0.000 (multiplicity 1)
Te 0.000 0.500 0.500 (multiplicity 2)
Au 0.000 0.000 0.500 (multiplicity 1)

***

This record from the Alexandria database describes crystalline NiSbTe2Au at its relaxed geometry. The functional is GGA-PBE.

Properties
V = 158.36 Å³/cell
Total DFT energy (no corrections) = -2.863 eV per atom
Fermi-level density of states = 1.692 states/eV/atom
Formation energy from raw total energies = 1030 meV per atom

Cell: 5.498 5.498 5.239 Å, 90.00 90.00 90.00°
Space group P4/mmm (No. 123)
Symmetry-distinct sites (fractional):
Ni 0.000 0.000 0.000 (multiplicity 1)
Sb 0.500 0.500 0.000 (multiplicity 1)
Te 0.000 0.500 0.500 (multiplicity 2)
Au 0.500 0.500 0.500 (multiplicity 1)

***

This record from the Alexandria database describes crystalline Ti2Ni7Sb2Au at its relaxed geometry. The functional is GGA-PBE.

Properties
V = 359.54 Å³/cell
Total DFT energy (no corrections) = -5.680 eV per atom
Fermi-level density of states = 0.792 states/eV/atom
Formation energy from raw total energies = -31 meV per atom

Cell: 4.957 4.957 14.830 Å, 90.00 99.38 90.00°
Space group C2/m (No. 12)
Symmetry-distinct sites (fractional):
Ti 0.123 0.000 0.254 (multiplicity 4)
Ni 0.000 0.000 0.000 (multiplicity 2)
Ni 0.184 0.250 0.863 (multiplicity 8)
Ni 0.224 0.000 0.451 (multiplicity 4)
Sb 0.186 0.500 0.377 (multiplicity 4)
Au 0.000 0.500 0.000 (multiplicity 2)

***

This record from the Alexandria database describes crystalline TiNiSbAu at its relaxed geometry. The functional is GGA-PBE.

Properties
V = 270.14 Å³/cell
Total DFT energy (no corrections) = -5.441 eV per atom
Fermi-level density of states = 0.819 states/eV/atom
Formation energy from raw total energies = -172 meV per atom

Cell: 6.464 6.464 6.464 Å, 90.00 90.00 90.00°
Space group F-43m (No. 216)
Symmetry-distinct sites (fractional):
Ti 0.000 0.000 0.000 (multiplicity 4)
Ni 0.000 0.000 0.500 (multiplicity 4)
Sb 0.250 0.250 0.250 (multiplicity 4)
Au 0.250 0.250 0.750 (multiplicity 4)

***

This record from the Alexandria database describes crystalline ScNiAu4 at its relaxed geometry. The functional is GGA-PBE.

Properties
V = 450.69 Å³/cell
Total DFT energy (no corrections) = -4.284 eV per atom
Fermi-level density of states = 0.624 states/eV/atom

Cell: 7.667 7.667 7.667 Å, 90.00 90.00 90.00°
Space group F-43m (No. 216)
Symmetry-distinct sites (fractional):
Sc 0.000 0.000 0.000 (multiplicity 4)
Ni 0.250 0.250 0.250 (multiplicity 4)
Au 0.125 0.125 0.625 (multiplicity 16)

***

This record from the Alexandria database describes crystalline ScNi2Au at its relaxed geometry. The functional is GGA-PBE.

Properties
V = 185.98 Å³/cell
Total DFT energy (no corrections) = -5.251 eV per atom
Fermi-level density of states = 1.137 states/eV/atom

Cell: 2.9294 2.9294 25.0241 Å, 90.00 90.00 120.00°
Space group R-3m (No. 166, hexagonal axes)
Symmetry-distinct sites (fractional):
Sc 0.0000 0.0000 0.0000 (multiplicity 3)
Ni 0.0000 0.0000 0.2529 (multiplicity 6)
Au 0.0000 0.0000 0.5000 (multiplicity 3)